Entry 1:
{
  "formula": "Dy3YPb12",
  "functional": "PBE-GGA",
  "state": "relaxed",
  "e_form_mev_per_atom": -285,
  "dos_at_fermi_per_ev_fu": 8.229,
  "cell": [[-0.857, 4.834, -0.194], [-4.633, -0.877, -1.382], [-5.466, -0.227, 18.471]],
  "species": ["Pb", "Pb", "Pb", "Pb", "Pb", "Pb", "Pb", "Pb", "Pb", "Pb", "Pb", "Pb", "Y", "Dy", "Dy", "Dy"],
  "frac_coords": [[0.500, 0.000, 0.375], [0.500, 0.000, 0.625], [0.500, 0.000, 0.125], [0.500, 0.500, 0.000], [0.000, 0.500, 0.375], [0.000, 0.500, 0.625], [0.000, 0.500, 0.875], [0.000, 0.500, 0.125], [0.500, 0.500, 0.250], [0.500, 0.000, 0.875], [0.500, 0.500, 0.500], [0.500, 0.500, 0.750], [0.000, 0.000, 0.000], [0.000, 0.000, 0.250], [0.000, 0.000, 0.750], [0.000, 0.000, 0.500]]
}

Entry 2:
{
  "formula": "DyY3Pb5",
  "functional": "PBE-GGA",
  "state": "relaxed",
  "e_form_mev_per_atom": -424,
  "dos_at_fermi_per_ev_fu": 8.620,
  "cell": [[-6.477, -0.826, 0.266], [-0.897, 4.300, -8.502], [1.228, -9.479, 0.461]],
  "species": ["Y", "Y", "Y", "Y", "Y", "Y", "Pb", "Pb", "Pb", "Pb", "Pb", "Pb", "Pb", "Pb", "Pb", "Pb", "Dy", "Dy"],
  "frac_coords": [[0.750, 0.000, 0.381], [0.250, 0.619, 0.000], [0.750, 0.619, 0.619], [0.250, 0.000, 0.619], [0.250, 0.381, 0.381], [0.750, 0.381, 0.000], [0.250, 0.712, 0.712], [0.750, 0.000, 0.712], [0.250, 0.000, 0.288], [0.250, 0.288, 0.000], [0.000, 0.333, 0.667], [0.750, 0.288, 0.288], [0.750, 0.712, 0.000], [0.000, 0.667, 0.333], [0.500, 0.333, 0.667], [0.500, 0.667, 0.333], [0.500, 0.000, 0.000], [0.000, 0.000, 0.000]]
}

Entry 3:
{
  "formula": "Dy5YPb5",
  "functional": "PBE-GGA",
  "state": "relaxed",
  "e_form_mev_per_atom": -275,
  "dos_at_fermi_per_ev_fu": 8.973,
  "cell": [[-2.837, 1.270, 5.439], [7.859, -2.945, 1.179], [1.171, 7.203, -1.071]],
  "species": ["Dy", "Dy", "Dy", "Dy", "Dy", "Pb", "Pb", "Pb", "Pb", "Pb", "Y"],
  "frac_coords": [[0.340, 0.680, 0.665], [0.665, 0.329, 0.834], [0.000, 0.000, 0.500], [0.660, 0.320, 0.335], [0.335, 0.671, 0.166], [0.833, 0.666, 0.660], [0.167, 0.334, 0.340], [0.832, 0.663, 0.174], [0.500, 0.000, 0.000], [0.168, 0.337, 0.826], [0.000, 0.000, 0.000]]
}

Entry 4:
{
  "formula": "Dy6Zn5Pb",
  "functional": "PBE-GGA",
  "state": "relaxed",
  "e_form_mev_per_atom": -356,
  "dos_at_fermi_per_ev_fu": 12.405,
  "cell": [[-1.848, 4.745, -0.281], [-3.715, -4.582, -6.634], [-1.083, -2.666, 8.398]],
  "species": ["Zn", "Zn", "Zn", "Zn", "Zn", "Dy", "Dy", "Dy", "Dy", "Dy", "Dy", "Pb"],
  "frac_coords": [[0.000, 0.668, 0.332], [0.500, 0.830, 0.170], [0.500, 0.500, 0.500], [0.500, 0.170, 0.830], [0.000, 0.332, 0.668], [0.743, 0.571, 0.915], [0.743, 0.915, 0.571], [0.764, 0.264, 0.264], [0.257, 0.429, 0.085], [0.236, 0.736, 0.736], [0.257, 0.085, 0.429], [0.000, 0.000, 0.000]]
}

Entry 5:
{
  "formula": "DyZnPb2",
  "functional": "PBE-GGA",
  "state": "relaxed",
  "e_form_mev_per_atom": -254,
  "dos_at_fermi_per_ev_fu": 1.721,
  "cell": [[4.490, 0.000, 0.000], [0.000, 4.752, 0.000], [0.000, 0.000, 4.752]],
  "species": ["Pb", "Pb", "Zn", "Dy"],
  "frac_coords": [[0.000, 0.000, 0.500], [0.000, 0.500, 0.000], [0.500, 0.500, 0.500], [0.500, 0.000, 0.000]]
}

Entry 6:
{
  "formula": "Dy2ZnPb",
  "functional": "PBE-GGA",
  "state": "relaxed",
  "e_form_mev_per_atom": -384,
  "dos_at_fermi_per_ev_fu": 1.992,
  "cell": [[3.639, 0.000, 0.000], [0.000, 3.639, 0.000], [0.000, 0.000, 7.652]],
  "species": ["Zn", "Pb", "Dy", "Dy"],
  "frac_coords": [[0.500, 0.500, 0.000], [0.500, 0.500, 0.500], [0.000, 0.000, 0.226], [0.000, 0.000, 0.774]]
}

Respective M_tot values: 0.00 0.00 0.06 0.00 0.00 0.00 μB per cell.